No. 1
# PBE ZnSbAs, relaxed
data_ZnSbAs
_space_group_name_H-M_alt 'C 1 2/m 1'
_space_group_IT_number 12
_cell_length_a 5.529
_cell_length_b 5.367
_cell_length_c 9.316
_cell_angle_alpha 90.00
_cell_angle_beta 99.30
_cell_angle_gamma 90.00
loop_
_space_group_symop_operation_xyz
'x,y,z'
'-x,-y,-z'
'-x,y,-z'
'x,-y,z'
'x+1/2,y+1/2,z'
'-x+1/2,-y+1/2,-z'
'-x+1/2,y+1/2,-z'
'x+1/2,-y+1/2,z'
loop_
_atom_site_label
_atom_site_type_symbol
_atom_site_fract_x
_atom_site_fract_y
_atom_site_fract_z
Zn1 Zn 0.130 0.000 0.377
Sb1 Sb 0.245 0.000 0.922
As1 As 0.111 0.500 0.352
# Formation energy without anion corrections in meV/atom: 130.0
# ΔE to the lowest computed polymorph in kJ per mole of atoms: 0.00
# V in Å³/atom: 22.736
# Magnetic moment in μB per cell: 0.00

***

No. 2
# PBE Zn2SbAs, relaxed
data_Zn2SbAs
_space_group_name_H-M_alt 'I -4 2 d'
_space_group_IT_number 122
_space_group_name_Hall 'I -4 2bw'
_cell_length_a 5.981
_cell_length_b 5.981
_cell_length_c 11.464
_cell_angle_alpha 90.00
_cell_angle_beta 90.00
_cell_angle_gamma 90.00
loop_
_atom_site_label
_atom_site_type_symbol
_atom_site_fract_x
_atom_site_fract_y
_atom_site_fract_z
Zn1 Zn 0.216 0.250 0.125
Sb1 Sb 0.000 0.000 0.500
As1 As 0.000 0.000 0.000
# Formation energy without anion corrections in meV/atom: 82.6
# ΔE to the lowest computed polymorph in kJ per mole of atoms: 4.73
# V in Å³/atom: 25.633
# Magnetic moment in μB per cell: 0.00

***

No. 3
# PBE Zn2SbAs, relaxed
data_Zn2SbAs
_space_group_name_H-M_alt 'C 1 m 1'
_space_group_IT_number 8
_cell_length_a 8.025
_cell_length_b 3.847
_cell_length_c 5.951
_cell_angle_alpha 90.00
_cell_angle_beta 111.21
_cell_angle_gamma 90.00
loop_
_space_group_symop_operation_xyz
'x,y,z'
'x,-y,z'
'x+1/2,y+1/2,z'
'x+1/2,-y+1/2,z'
loop_
_atom_site_label
_atom_site_type_symbol
_atom_site_fract_x
_atom_site_fract_y
_atom_site_fract_z
Zn1 Zn 0.000 0.000 0.000
Zn2 Zn 0.213 0.000 0.775
Sb1 Sb 0.273 0.500 0.230
As1 As 0.456 0.000 0.606
# Formation energy without anion corrections in meV/atom: 33.6
# ΔE to the lowest computed polymorph in kJ per mole of atoms: 0.00
# V in Å³/atom: 21.411
# Magnetic moment in μB per cell: 0.00

***

No. 4
# PBE ZnSb2As, relaxed
data_ZnSb2As
_space_group_name_H-M_alt 'C m m 2'
_space_group_IT_number 35
_cell_length_a 3.858
_cell_length_b 5.231
_cell_length_c 9.062
_cell_angle_alpha 90.00
_cell_angle_beta 90.00
_cell_angle_gamma 90.00
loop_
_space_group_symop_operation_xyz
'x,y,z'
'-x,-y,z'
'-x,y,z'
'x,-y,z'
'x+1/2,y+1/2,z'
'-x+1/2,-y+1/2,z'
'-x+1/2,y+1/2,z'
'x+1/2,-y+1/2,z'
loop_
_atom_site_label
_atom_site_type_symbol
_atom_site_fract_x
_atom_site_fract_y
_atom_site_fract_z
Zn1 Zn 0.000 0.000 0.000
Sb1 Sb 0.000 0.000 0.548
Sb2 Sb 0.000 0.500 0.240
As1 As 0.000 0.500 0.808
# Formation energy without anion corrections in meV/atom: 248.7
# ΔE to the lowest computed polymorph in kJ per mole of atoms: 17.69
# V in Å³/atom: 22.861
# Magnetic moment in μB per cell: 0.00

***

- The highest V belongs to which entry?
  number 2

***

- Look up the ΔE to the lowest computed polymorph of the fourth one.
  17.69 kJ per mole of atoms

***

- Among the records above, which one has the highest ΔE to the lowest computed polymorph?
  ZnSb2As